No. 1
{
  "formula": "ScBTe2W",
  "functional": "PBE-GGA",
  "state": "optimized geometry",
  "m_tot_mub_per_fu": 0.000,
  "mass_density_g_cm3": 6.91,
  "lattice": [[5.400, 0.000, 0.000], [0.000, 5.400, 0.000], [0.000, 0.000, 4.077]],
  "species": ["Sc", "B", "Te", "Te", "W"],
  "frac_coords": [[0.000, 0.000, 0.000], [0.500, 0.500, 0.000], [0.000, 0.500, 0.500], [0.500, 0.000, 0.500], [0.500, 0.500, 0.500]]
}

=====

No. 2
{
  "formula": "YScBTe2",
  "functional": "PBE-GGA",
  "state": "optimized geometry",
  "m_tot_mub_per_fu": 1.030,
  "mass_density_g_cm3": 3.47,
  "lattice": [[5.750, 0.000, 0.000], [0.000, 5.750, 0.000], [0.000, 0.000, 5.784]],
  "species": ["Y", "Sc", "B", "Te", "Te"],
  "frac_coords": [[0.000, 0.000, 0.000], [0.000, 0.000, 0.500], [0.500, 0.500, 0.500], [0.000, 0.500, 0.000], [0.500, 0.000, 0.000]]
}

=====

No. 3
{
  "formula": "ThScB4",
  "functional": "PBE-GGA",
  "state": "optimized geometry",
  "m_tot_mub_per_fu": 0.000,
  "mass_density_g_cm3": 7.32,
  "lattice": [[6.217, 0.000, 0.000], [0.000, 12.033, 0.000], [0.000, 0.000, 3.886]],
  "species": ["Th", "Th", "Th", "Th", "Sc", "Sc", "Sc", "Sc", "B", "B", "B", "B", "B", "B", "B", "B", "B", "B", "B", "B", "B", "B", "B", "B"],
  "frac_coords": [[0.130, 0.151, 0.000], [0.370, 0.651, 0.000], [0.630, 0.349, 0.000], [0.870, 0.849, 0.000], [0.135, 0.412, 0.000], [0.365, 0.912, 0.000], [0.635, 0.088, 0.000], [0.865, 0.588, 0.000], [0.027, 0.693, 0.500], [0.113, 0.547, 0.500], [0.132, 0.970, 0.500], [0.208, 0.814, 0.500], [0.292, 0.314, 0.500], [0.368, 0.470, 0.500], [0.387, 0.047, 0.500], [0.473, 0.193, 0.500], [0.527, 0.807, 0.500], [0.613, 0.953, 0.500], [0.632, 0.530, 0.500], [0.708, 0.686, 0.500], [0.792, 0.186, 0.500], [0.868, 0.030, 0.500], [0.887, 0.453, 0.500], [0.973, 0.307, 0.500]]
}

=====

No. 4
{
  "formula": "ThScB",
  "functional": "PBE-GGA",
  "state": "optimized geometry",
  "m_tot_mub_per_fu": 0.000,
  "mass_density_g_cm3": 8.11,
  "lattice": [[7.370, 0.000, 0.000], [0.000, 3.927, 0.000], [-0.152, 0.000, 12.218]],
  "species": ["Th", "Th", "Th", "Th", "Th", "Th", "Sc", "Sc", "Sc", "Sc", "Sc", "Sc", "B", "B", "B", "B", "B", "B"],
  "frac_coords": [[0.009, 0.250, 0.217], [0.372, 0.750, 0.586], [0.481, 0.750, 0.882], [0.519, 0.250, 0.118], [0.628, 0.250, 0.414], [0.991, 0.750, 0.783], [0.027, 0.250, 0.586], [0.153, 0.250, 0.967], [0.335, 0.750, 0.302], [0.665, 0.250, 0.698], [0.847, 0.750, 0.033], [0.973, 0.750, 0.414], [0.209, 0.750, 0.091], [0.219, 0.250, 0.418], [0.286, 0.250, 0.752], [0.714, 0.750, 0.248], [0.781, 0.750, 0.582], [0.791, 0.250, 0.909]]
}

=====

No. 5
{
  "formula": "ThScB12",
  "functional": "PBE-GGA",
  "state": "optimized geometry",
  "m_tot_mub_per_fu": 0.000,
  "mass_density_g_cm3": 4.92,
  "lattice": [[4.095, 0.000, 0.000], [0.000, 4.095, 0.000], [0.000, 0.000, 8.183]],
  "species": ["Th", "Sc", "B", "B", "B", "B", "B", "B", "B", "B", "B", "B", "B", "B"],
  "frac_coords": [[0.000, 0.000, 0.000], [0.000, 0.000, 0.500], [0.198, 0.500, 0.252], [0.198, 0.500, 0.748], [0.500, 0.198, 0.252], [0.500, 0.198, 0.748], [0.500, 0.500, 0.100], [0.500, 0.500, 0.402], [0.500, 0.500, 0.598], [0.500, 0.500, 0.900], [0.500, 0.802, 0.252], [0.500, 0.802, 0.748], [0.802, 0.500, 0.252], [0.802, 0.500, 0.748]]
}

=====

No. 6
{
  "formula": "ScTi2B",
  "functional": "PBE-GGA",
  "state": "optimized geometry",
  "m_tot_mub_per_fu": 0.000,
  "mass_density_g_cm3": 3.90,
  "lattice": [[-3.571, 3.571, 2.531], [3.571, -3.571, 2.531], [3.571, 3.571, -2.531]],
  "species": ["Sc", "Sc", "Ti", "Ti", "Ti", "Ti", "B", "B"],
  "frac_coords": [[0.000, 0.000, 0.000], [0.750, 0.250, 0.500], [0.202, 0.625, 0.077], [0.375, 0.452, 0.577], [0.548, 0.125, 0.923], [0.875, 0.798, 0.423], [0.250, 0.750, 0.500], [0.500, 0.500, 0.000]]
}

=====

No. 7
{
  "formula": "Sc3TiB",
  "functional": "PBE-GGA",
  "state": "optimized geometry",
  "m_tot_mub_per_fu": 0.000,
  "mass_density_g_cm3": 2.87,
  "e_above_lowest_polymorph_mev_per_atom": 1243.3,
  "lattice": [[4.821, 0.000, 0.000], [0.000, 4.821, 0.000], [0.000, 0.000, 4.821]],
  "species": ["Sc", "Sc", "Sc", "Ti", "B"],
  "frac_coords": [[0.000, 0.000, 0.500], [0.000, 0.500, 0.000], [0.500, 0.000, 0.000], [0.000, 0.000, 0.000], [0.500, 0.500, 0.500]]
}

=====

No. 8
{
  "formula": "Sc2TiB6",
  "functional": "PBE-GGA",
  "state": "optimized geometry",
  "m_tot_mub_per_fu": 0.000,
  "mass_density_g_cm3": 3.92,
  "lattice": [[5.380, 0.000, 0.000], [-2.690, 4.660, 0.000], [0.000, 0.000, 3.423]],
  "species": ["Sc", "Sc", "Ti", "B", "B", "B", "B", "B", "B"],
  "frac_coords": [[0.333, 0.667, 0.000], [0.667, 0.333, 0.000], [0.000, 0.000, 0.000], [0.000, 0.328, 0.500], [0.000, 0.672, 0.500], [0.328, 0.000, 0.500], [0.328, 0.328, 0.500], [0.672, 0.000, 0.500], [0.672, 0.672, 0.500]]
}

=====

No. 9
{
  "formula": "ScTi2B6",
  "functional": "PBE-GGA",
  "state": "optimized geometry",
  "m_tot_mub_per_fu": 0.000,
  "mass_density_g_cm3": 4.20,
  "lattice": [[5.314, 0.000, 0.000], [-2.657, 4.602, 0.000], [0.000, 0.000, 3.323]],
  "species": ["Sc", "Ti", "Ti", "B", "B", "B", "B", "B", "B"],
  "frac_coords": [[0.000, 0.000, 0.000], [0.333, 0.667, 0.000], [0.667, 0.333, 0.000], [0.000, 0.336, 0.500], [0.000, 0.664, 0.500], [0.336, 0.000, 0.500], [0.336, 0.336, 0.500], [0.664, 0.000, 0.500], [0.664, 0.664, 0.500]]
}

=====

No. 10
{
  "formula": "ScTiB2",
  "functional": "PBE-GGA",
  "state": "optimized geometry",
  "m_tot_mub_per_fu": 0.678,
  "mass_density_g_cm3": 3.97,
  "e_above_lowest_polymorph_mev_per_atom": 0.0,
  "lattice": [[0.000, 2.881, 2.881], [2.881, 0.000, 2.881], [2.881, 2.881, 0.000]],
  "species": ["Sc", "Ti", "B", "B"],
  "frac_coords": [[0.000, 0.000, 0.000], [0.500, 0.500, 0.500], [0.250, 0.250, 0.250], [0.750, 0.750, 0.750]]
}

=====

No. 11
{
  "formula": "ScTiB2",
  "functional": "PBE-GGA",
  "state": "optimized geometry",
  "m_tot_mub_per_fu": 0.000,
  "mass_density_g_cm3": 3.51,
  "e_above_lowest_polymorph_mev_per_atom": 159.5,
  "lattice": [[-3.053, 3.053, 2.904], [3.053, -3.053, 2.904], [3.053, 3.053, -2.904]],
  "species": ["Sc", "Sc", "Ti", "Ti", "B", "B", "B", "B"],
  "frac_coords": [[0.000, 0.000, 0.000], [0.750, 0.250, 0.500], [0.250, 0.750, 0.500], [0.500, 0.500, 0.000], [0.144, 0.125, 0.519], [0.375, 0.856, 0.981], [0.606, 0.625, 0.481], [0.875, 0.394, 0.019]]
}

=====

No. 12
{
  "formula": "Sc3TiB",
  "functional": "PBE-GGA",
  "state": "optimized geometry",
  "m_tot_mub_per_fu": 2.416,
  "mass_density_g_cm3": 3.10,
  "e_above_lowest_polymorph_mev_per_atom": 0.0,
  "lattice": [[4.698, 0.000, 0.000], [0.000, 4.698, 0.000], [0.000, 0.000, 4.698]],
  "species": ["Sc", "Sc", "Sc", "Ti", "B"],
  "frac_coords": [[0.000, 0.000, 0.500], [0.000, 0.500, 0.000], [0.500, 0.000, 0.000], [0.500, 0.500, 0.500], [0.000, 0.000, 0.000]]
}

=====

The records above give, respectively, electronic total energy values of -5.898 -4.003 -7.291 -6.839 -7.046 -7.051 -5.333 -7.634 -7.886 -6.821 -6.661 -6.576 eV per atom.